# 1
## NaNdCdO3 (GGA-PBE)

Data for a relaxed structure of NaNdCdO3.

```
NaNdCdO3
1.0
1.872 -5.864 0.000
1.872 5.864 0.000
0.000 0.000 9.262
Na Nd Cd O
2 2 2 6
Direct
0.155 0.845 0.750
0.845 0.155 0.250
0.500 0.500 0.000
0.500 0.500 0.500
0.121 0.879 0.250
0.879 0.121 0.750
0.127 0.873 0.028
0.127 0.873 0.472
0.470 0.530 0.250
0.530 0.470 0.750
0.873 0.127 0.528
0.873 0.127 0.972
```

Results
The space-group type is Cmcm, No. 63. The volume comes out at 203.4 Å³/cell. As for the energy: -0.202 hartree per atom.

---

# 2
## NaNdCdSe3 (GGA-PBE)

Data for a relaxed structure of NaNdCdSe3.

```
NaNdCdSe3
1.0
11.393 0.000 0.000
0.000 4.261 0.000
0.000 0.000 13.685
Na Nd Cd Se
4 4 4 12
Direct
0.216 0.250 0.006
0.284 0.750 0.506
0.716 0.250 0.494
0.784 0.750 0.994
0.010 0.750 0.739
0.490 0.250 0.239
0.510 0.750 0.761
0.990 0.250 0.261
0.239 0.750 0.220
0.261 0.250 0.720
0.739 0.750 0.280
0.761 0.250 0.780
0.047 0.750 0.115
0.081 0.250 0.601
0.242 0.250 0.340
0.258 0.750 0.840
0.419 0.750 0.101
0.453 0.250 0.615
0.547 0.750 0.385
0.581 0.250 0.899
0.742 0.250 0.160
0.758 0.750 0.660
0.919 0.750 0.399
0.953 0.250 0.885
```

Results
The distance to the lowest polymorph of the same formula is 0.9 kJ per mole of atoms. The space-group type is Pnma, No. 62. The volume comes out at 664.3 Å³/cell.

---

The following spin magnetization values (in μB per cell) correspond, in order, to the records above: 0.00 0.02.